! InSb2Au2 (PBE, optimized geometry); values from VASP
&SYSTEM
  ibrav = 0, nat = 5, ntyp = 3
/
ATOMIC_SPECIES
In 114.82 In.upf
Sb 121.76 Sb.upf
Au 196.97 Au.upf
CELL_PARAMETERS angstrom
3.2115 -3.4887 0.0000
3.2115 3.4887 0.0000
-2.0985 0.0000 5.7578
ATOMIC_POSITIONS angstrom
In 0.0000 0.0000 0.0000
Sb 2.1622 1.6549 2.8789
Sb 2.1622 -1.6549 2.8789
Au 0.4498 0.0000 4.5535
Au 3.8746 0.0000 1.2043
! - electronic total energy (eV per cell) = -17.33
! - volume (A^3/atom) = 25.80
! - magnetic moment (μB per atom) = 0.000
! - energy above the most stable polymorph in this dataset (meV per atom) = 0
! - formation energy (no corrections) (eV per atom) = 0.04